Computed, not measured: a geometry-optimized SrVPtO6 structure at the PBE with a Hubbard U level of DFT.

Properties
* DFT total energy: -6.562 eV per atom
* symmetry: No. 149
* crystal system: trigonal
* total magnetization: 0.098 μB per atom

Cell and atoms, written as CIF:
```
data_SrVPtO6
_chemical_formula_sum 'Sr1 V1 Pt1 O6'
_symmetry_space_group_name_H-M 'P 1'
_symmetry_Int_Tables_number 1
_symmetry_space_group_name_Hall 'P 1'
_cell_length_a 5.215
_cell_length_b 5.215
_cell_length_c 5.367
_cell_angle_alpha 90.00
_cell_angle_beta 90.00
_cell_angle_gamma 60.00
loop_
_atom_site_label
_atom_site_type_symbol
_atom_site_fract_x
_atom_site_fract_y
_atom_site_fract_z
O1 O 0.987 0.629 0.699
O2 O 0.629 0.987 0.301
O3 O 0.629 0.385 0.699
O4 O 0.385 0.987 0.699
O5 O 0.385 0.629 0.301
O6 O 0.987 0.385 0.301
V1 V 0.667 0.667 0.500
Sr1 Sr 0.000 0.000 0.000
Pt1 Pt 0.333 0.333 0.500
```